1.
Compound: TlSb2IBr
Source: Alexandria via LeMat-Bulk
Functional: PBE
Structure: optimized geometry

Properties
energy relative to the elements, uncorrected: 0.6152 eV/atom
mass density: 5337 kg/m3

abc: 5.846 5.846 5.960
angles: 90.00 90.00 90.00
Space group P4/mmm (No. 123)
Unique sites:
1 Tl 0.000 0.000 0.000 x1
2 Sb 0.000 0.500 0.000 x2
3 I 0.000 0.000 0.500 x1
4 Br 0.500 0.500 0.500 x1


2.
Compound: LiGa8Ir5
Source: Alexandria via LeMat-Bulk
Functional: PBE
Structure: optimized geometry

Properties
mass density: 11613 kg/m3
energy relative to the elements: -0.316 eV per atom

abc: 7.338 7.338 8.104
angles: 90.00 90.00 90.00
Space group I-4 (No. 82)
Unique sites:
1 Li 0.000 0.000 0.000 x2
2 Ga 0.073 0.169 0.653 x8
3 Ga 0.091 0.341 0.028 x8
4 Ir 0.000 0.500 0.750 x2
5 Ir 0.152 0.275 0.339 x8


3.
Compound: Mg2InTc
Source: Alexandria via LeMat-Bulk
Functional: PBE
Structure: optimized geometry

Properties
mass density: 5815 kg/m3
energy relative to the elements: 0.169 eV per atom

abc: 9.813 2.891 5.301
angles: 90.00 96.86 90.00
Space group Cm (No. 8)
Unique sites:
1 Mg 0.000 0.000 0.000 x2
2 Mg 0.239 0.000 0.739 x2
3 In 0.256 0.500 0.268 x2
4 Tc 0.498 0.000 0.510 x2


4.
Compound: Sc2FeOs2
Source: Alexandria via LeMat-Bulk
Functional: PBE
Structure: optimized geometry

Properties
mass density: 9994 kg/m3
energy relative to the elements: -0.158 eV per atom

abc: 6.429 6.429 4.231
angles: 90.00 90.00 90.00
Space group P4/mbm (No. 127)
Unique sites:
1 Sc 0.177 0.323 0.000 x4
2 Fe 0.000 0.000 0.500 x2
3 Os 0.135 0.635 0.500 x4


5.
Compound: AlVZnCu
Source: Alexandria via LeMat-Bulk
Functional: PBE
Structure: optimized geometry

Properties
mass density: 6329 kg/m3
energy relative to the elements: -0.142 eV per atom

abc: 2.739 2.739 7.236
angles: 90.00 90.00 90.00
Space group P4mm (No. 99)
Unique sites:
1 Al 0.000 0.000 0.000 x1
2 V 0.500 0.500 0.261 x1
3 Zn 0.000 0.000 0.522 x1
4 Cu 0.500 0.500 0.762 x1


6.
Compound: SrPtI2O
Source: Alexandria via LeMat-Bulk
Functional: PBE
Structure: optimized geometry

Properties
energy relative to the elements, uncorrected: -0.6926 eV/atom
mass density: 6958 kg/m3

abc: 5.724 5.724 4.024
angles: 90.00 90.00 90.00
Space group P4/mmm (No. 123)
Unique sites:
1 Sr 0.000 0.000 0.000 x1
2 Pt 0.500 0.500 0.500 x1
3 I 0.000 0.500 0.500 x2
4 O 0.500 0.500 0.000 x1


7.
Compound: LaSmCu2
Source: Alexandria via LeMat-Bulk
Functional: PBE
Structure: optimized geometry

Properties
mass density: 7194 kg/m3
energy relative to the elements: -0.181 eV per atom

abc: 3.952 4.553 5.674
angles: 90.00 109.70 90.00
Space group Pm (No. 6)
Unique sites:
1 La 0.000 0.000 0.000 x1
2 Sm 0.717 0.500 0.435 x1
3 Cu 0.292 0.000 0.579 x1
4 Cu 0.418 0.500 0.843 x1


8.
Compound: Li6CdAu12
Source: Alexandria via LeMat-Bulk
Functional: PBE
Structure: optimized geometry

Properties
mass density: 12034 kg/m3
energy relative to the elements: -0.343 eV per atom

abc: 12.0135 12.0135 8.3386
angles: 90.00 90.00 120.00
Space group R-3 (No. 148, hexagonal axes)
Unique sites:
1 Li 0.0491 0.8302 0.2480 x18
2 Cd 0.0000 0.0000 0.5000 x3
3 Au 0.0508 0.8060 0.5758 x18
4 Au 0.0614 0.8303 0.9220 x18


9.
Compound: YAgBi2O
Source: Alexandria via LeMat-Bulk
Functional: PBE
Structure: optimized geometry

Properties
energy relative to the elements, uncorrected: -0.3519 eV/atom
mass density: 6671 kg/m3

abc: 6.190 6.190 4.097
angles: 90.00 90.00 90.00
Space group P4/mmm (No. 123)
Unique sites:
1 Y 0.000 0.000 0.000 x1
2 Ag 0.500 0.500 0.500 x1
3 Bi 0.000 0.500 0.000 x2
4 O 0.000 0.000 0.500 x1


10.
Compound: Sc2CoRe
Source: Alexandria via LeMat-Bulk
Functional: PBE
Structure: optimized geometry

Properties
mass density: 8294 kg/m3
energy relative to the elements: 0.182 eV per atom

abc: 2.859 4.308 5.446
angles: 90.00 90.00 90.00
Space group Pmm2 (No. 25)
Unique sites:
1 Sc 0.000 0.000 0.000 x1
2 Sc 0.500 0.500 0.322 x1
3 Co 0.000 0.000 0.528 x1
4 Re 0.500 0.500 0.799 x1


11.
Compound: RbAlTe3
Source: Alexandria via LeMat-Bulk
Functional: PBE
Structure: optimized geometry

Properties
energy relative to the elements, uncorrected: -0.2939 eV/atom
mass density: 4816 kg/m3

abc: 5.548 5.548 5.548
angles: 90.00 90.00 90.00
Space group Pm-3m (No. 221)
Unique sites:
1 Rb 0.000 0.000 0.000 x1
2 Al 0.500 0.500 0.500 x1
3 Te 0.000 0.500 0.500 x3